[1]
The following is a DFT calculation (GGA-PBEsol) of a geometry-optimized CeMg3 structure.

Lattice parameters (Å, degrees): 5.1577 5.1577 5.1577 60.00 60.00 60.00
Last column: nearest neighbours and their distance in Å.
Element x y z (fractional)
Mg (0.5000, 0.5000, 0.5000)  8 Mg 3.16
Mg (0.7500, 0.7500, 0.7500)  4 Ce 3.16, 4 Mg 3.16
Mg (0.2500, 0.2500, 0.2500)  4 Ce 3.16, 4 Mg 3.16
Ce (0.0000, 0.0000, 0.0000)  8 Mg 3.16

Values from the calculation:
V in Å³ per atom: 24.254
Total DFT energy (no corrections) in eV per formula unit: -11.7
Density of states at the Fermi level in states/eV per cell: 6.88

---

[2]
The following is a DFT calculation (GGA-PBEsol) of a geometry-optimized MgMnNi2 structure.

Lattice parameters (Å, degrees): 2.8880 2.8880 6.0168 90.00 90.00 90.00
Last column: nearest neighbours and their distance in Å.
Element x y z (fractional)
Mn (0.5000, 0.5000, 0.5000)  8 Ni 2.45
Ni (0.0000, 0.0000, 0.2762)  4 Mn 2.45, 4 Mg 2.63, 1 Ni 2.69
Ni (0.0000, 0.0000, 0.7238)  4 Mn 2.45, 4 Mg 2.63, 1 Ni 2.69
Mg (0.5000, 0.5000, 0.0000)  8 Ni 2.63, 4 Mg 2.89

Values from the calculation:
V in Å³ per atom: 12.546
Total DFT energy (no corrections) in eV per formula unit: -23.9
Density of states at the Fermi level in states/eV per cell: 2.54

---

[3]
The following is a DFT calculation (GGA-PBEsol) of a geometry-optimized Fe2NiIr structure.

Lattice parameters (Å, degrees): 2.5900 4.3658 4.3984 108.79 90.00 90.00
Last column: nearest neighbours and their distance in Å.
Element x y z (fractional)
Ni (0.0000, 0.5000, 0.5000)  4 Ir 2.54, 6 Fe 2.55, 2 Ni 2.59
Fe (0.5000, 0.5000, 0.0000)  6 Fe 2.54-2.59, 2 Ir 2.55, 4 Ni 2.55
Fe (0.0000, 0.0000, 0.0000)  6 Fe 2.54-2.59, 2 Ni 2.55, 4 Ir 2.55
Ir (0.5000, 0.0000, 0.5000)  4 Ni 2.54, 6 Fe 2.55, 2 Ir 2.59

Values from the calculation:
V in Å³ per atom: 11.771
Total DFT energy (no corrections) in eV per formula unit: -33.8
Density of states at the Fermi level in states/eV per cell: 5.21

---

[4]
The following is a DFT calculation (GGA-PBEsol) of a geometry-optimized Dy2ZrS5 structure.

Lattice parameters (Å, degrees): 7.1487 7.6551 11.3815 90.00 90.00 90.00
Last column: nearest neighbours and their distance in Å.
Element x y z (fractional)
S (0.8371, 0.5397, 0.4060)  2 Zr 2.50-2.63, 2 Dy 2.77-2.79
S (0.6909, 0.2500, 0.2099)  1 Zr 2.60, 4 Dy 2.78-2.80
S (0.1629, 0.0397, 0.5940)  2 Zr 2.50-2.63, 2 Dy 2.77-2.79
S (0.8091, 0.2500, 0.7099)  1 Zr 2.60, 4 Dy 2.78-2.80
S (0.1629, 0.4603, 0.5940)  2 Zr 2.50-2.63, 2 Dy 2.77-2.79
S (0.1909, 0.7500, 0.2901)  1 Zr 2.60, 4 Dy 2.78-2.80
S (0.8371, 0.9603, 0.4060)  2 Zr 2.50-2.63, 2 Dy 2.77-2.79
S (0.3091, 0.7500, 0.7901)  1 Zr 2.60, 4 Dy 2.78-2.80
S (0.3371, 0.4603, 0.0940)  2 Zr 2.50-2.63, 2 Dy 2.77-2.79
S (0.3308, 0.2500, 0.8176)  1 Zr 2.67, 4 Dy 2.83-2.92
S (0.3371, 0.0397, 0.0940)  2 Zr 2.50-2.63, 2 Dy 2.77-2.79
S (0.5483, 0.2500, 0.4974)  1 Zr 2.66, 4 Dy 2.81-2.83
S (0.1692, 0.2500, 0.3176)  1 Zr 2.67, 4 Dy 2.83-2.92
S (0.0483, 0.7500, 0.0026)  1 Zr 2.66, 4 Dy 2.81-2.83
S (0.9517, 0.2500, 0.9974)  1 Zr 2.66, 4 Dy 2.81-2.83
S (0.6629, 0.5397, 0.9060)  2 Zr 2.50-2.63, 2 Dy 2.77-2.79
S (0.6692, 0.7500, 0.1824)  1 Zr 2.67, 4 Dy 2.83-2.92
S (0.6629, 0.9603, 0.9060)  2 Zr 2.50-2.63, 2 Dy 2.77-2.79
S (0.8308, 0.7500, 0.6824)  1 Zr 2.67, 4 Dy 2.83-2.92
S (0.4517, 0.7500, 0.5026)  1 Zr 2.66, 4 Dy 2.81-2.83
Zr (0.5795, 0.2500, 0.9927)  7 S 2.50-2.67
Zr (0.0795, 0.7500, 0.5073)  7 S 2.50-2.67
Zr (0.9205, 0.2500, 0.4927)  7 S 2.50-2.67
Zr (0.4205, 0.7500, 0.0073)  7 S 2.50-2.67
Dy (0.4759, 0.9974, 0.3214)  8 S 2.77-2.92
Dy (0.0241, 0.5026, 0.8214)  8 S 2.77-2.92
Dy (0.9759, 0.0026, 0.1786)  8 S 2.77-2.92
Dy (0.5241, 0.4974, 0.6786)  8 S 2.77-2.92
Dy (0.9759, 0.4974, 0.1786)  8 S 2.77-2.92
Dy (0.0241, 0.9974, 0.8214)  8 S 2.77-2.92
Dy (0.4759, 0.5026, 0.3214)  8 S 2.77-2.92
Dy (0.5241, 0.0026, 0.6786)  8 S 2.77-2.92

Values from the calculation:
V in Å³ per atom: 19.464
Total DFT energy (no corrections) in eV per formula unit: -56.7